No. 1
Entry from the Alexandria database: an optimized crystal structure of ScSbCl3 (PBE).

As for the raw formation energy: -0.95 eV per atom. The uncorrected energy comes out at -20.8 eV per cell. Its density of states at the Fermi level is 4.187 states/eV/f.u.

It has space group Pm-3m (No. 221), with a = 5.138 Å, b = 5.138 Å, c = 5.138 Å, α = 90.00°, β = 90.00° and γ = 90.00°. The asymmetric unit holds Sc at (0.000, 0.000, 0.000), Sb at (0.500, 0.500, 0.500) and Cl at (0.000, 0.000, 0.500).


No. 2
Entry from the Alexandria database: an optimized crystal structure of Nd2HoSc (PBE).

As for the energy of formation from the pure elements: 0.0982 eV/atom. The uncorrected energy comes out at -80.2 eV per cell. Its density of states at the Fermi level is 6.335 states/eV/f.u.

It has space group Fm-3m (No. 225), with a = 7.956 Å, b = 7.956 Å, c = 7.956 Å, α = 90.00°, β = 90.00° and γ = 90.00°. The asymmetric unit holds Nd at (0.250, 0.250, 0.250), Ho at (0.000, 0.000, 0.000) and Sc at (0.000, 0.000, 0.500).


No. 3
Entry from the Alexandria database: an optimized crystal structure of CrP2 (PBE).

As for the energy of formation from the pure elements: -0.0322 eV/atom. The uncorrected energy comes out at -82.2 eV per cell. Its density of states at the Fermi level is 2.171 states/eV/f.u.

It has space group Pa-3 (No. 205), with a = 5.799 Å, b = 5.799 Å, c = 5.799 Å, α = 90.00°, β = 90.00° and γ = 90.00°. The asymmetric unit holds Cr at (0.000, 0.000, 0.000) and P at (0.108, 0.608, 0.892).